# 1
The following is a DFT calculation (PBE-GGA) of TlZnRh2 after structural relaxation.

The structure in POSCAR format:
```
TlZnRh2
1.0
-2.032 2.032 8.984
2.032 -2.032 8.984
2.032 2.032 -8.984
Tl Zn Rh
2 2 4
direct
0.000 0.000 0.000
0.750 0.250 0.500
0.250 0.750 0.500
0.500 0.500 0.000
0.184 0.625 0.059
0.375 0.434 0.559
0.566 0.125 0.941
0.875 0.816 0.441
```

Formation energy from the elements ... 118 kJ/mol of formula units
Electronic total energy ... -4.280 eV/atom
DOS(E_F) ... 8.00 states/eV per cell

=====

# 2
The following is a DFT calculation (PBE-GGA) of V2Mo4W after structural relaxation.

The structure in POSCAR format:
```
V2Mo4W
1.0
4.582 -5.055 0.000
4.582 5.055 0.000
-4.455 0.000 5.190
V Mo W
4 8 2
direct
0.153 0.847 0.000
0.342 0.342 0.694
0.658 0.658 0.306
0.847 0.153 0.000
0.023 0.023 0.703
0.200 0.505 0.028
0.295 0.295 0.296
0.495 0.800 0.972
0.505 0.200 0.028
0.705 0.705 0.704
0.800 0.495 0.972
0.977 0.977 0.297
0.283 0.717 0.500
0.717 0.283 0.500
```

Formation energy from the elements ... 513 kJ/mol of formula units
Electronic total energy ... -9.885 eV/atom
DOS(E_F) ... 15.46 states/eV per cell
Distance to the lowest polymorph of the same formula ... 421 meV per atom

=====

# 3
The following is a DFT calculation (PBE-GGA) of MnBr4 after structural relaxation.

The structure in POSCAR format:
```
MnBr4
1.0
-3.287 3.287 3.287
3.287 -3.287 3.287
3.287 3.287 -3.287
Mn Br
1 4
direct
0.000 0.000 0.000
0.000 0.000 0.500
0.000 0.500 0.000
0.500 0.000 0.000
0.500 0.500 0.500
```

Formation energy without anion corrections ... -14 meV per atom
Electronic total energy ... -3.186 eV/atom
DOS(E_F) ... 5.70 states/eV per cell

=====

# 4
The following is a DFT calculation (PBE-GGA) of LaNd2Sb3 after structural relaxation.

The structure in POSCAR format:
```
LaNd2Sb3
1.0
-2.282 3.223 6.837
2.282 -3.223 6.837
2.282 3.223 -6.837
La Nd Sb
1 2 3
direct
0.000 0.000 0.000
0.334 0.334 0.000
0.666 0.666 0.000
0.169 0.669 0.500
0.500 0.000 0.500
0.831 0.331 0.500
```

Formation energy without anion corrections ... -1217 meV per atom
Electronic total energy ... -5.689 eV/atom
DOS(E_F) ... 1.06 states/eV per cell

=====

# 5
The following is a DFT calculation (PBE-GGA) of KRe2Ni after structural relaxation.

The structure in POSCAR format:
```
KRe2Ni
1.0
-1.850 1.850 5.089
1.850 -1.850 5.089
1.850 1.850 -5.089
K Re Ni
1 2 1
direct
0.000 0.000 0.000
0.250 0.750 0.500
0.750 0.250 0.500
0.500 0.500 0.000
```

Formation energy from the elements ... 602 kJ/mol of formula units
Electronic total energy ... -6.383 eV/atom
DOS(E_F) ... 3.03 states/eV per cell
Distance to the lowest polymorph of the same formula ... 866 meV per atom

=====

# 6
The following is a DFT calculation (PBE-GGA) of TlTcBr2 after structural relaxation.

The structure in POSCAR format:
```
TlTcBr2
1.0
0.000 3.754 3.754
3.754 0.000 3.754
3.754 3.754 0.000
Tl Tc Br
1 1 2
direct
0.000 0.000 0.000
0.500 0.500 0.500
0.250 0.250 0.250
0.750 0.750 0.750
```

Formation energy without anion corrections ... 464 meV per atom
Electronic total energy ... -3.556 eV/atom
DOS(E_F) ... 5.92 states/eV per cell
Distance to the lowest polymorph of the same formula ... 430 meV per atom

=====

# 7
The following is a DFT calculation (PBE-GGA) of Pr2Nd3Y3 after structural relaxation.

The structure in POSCAR format:
```
Pr2Nd3Y3
1.0
2.845 -6.036 0.000
2.845 6.036 0.000
0.000 0.000 16.267
Pr Nd Y
4 6 6
direct
0.220 0.780 0.629
0.220 0.780 0.871
0.780 0.220 0.129
0.780 0.220 0.371
0.075 0.925 0.094
0.075 0.925 0.406
0.261 0.739 0.250
0.739 0.261 0.750
0.925 0.075 0.594
0.925 0.075 0.906
0.379 0.621 0.049
0.379 0.621 0.451
0.463 0.537 0.750
0.537 0.463 0.250
0.621 0.379 0.549
0.621 0.379 0.951
```

Formation energy from the elements ... 93 kJ/mol of formula units
Electronic total energy ... -5.286 eV/atom
DOS(E_F) ... 23.70 states/eV per cell
Distance to the lowest polymorph of the same formula ... 105 meV per atom

=====

# 8
The following is a DFT calculation (PBE-GGA) of CeTh2Zr after structural relaxation.

The structure in POSCAR format:
```
CeTh2Zr
1.0
0.000 3.846 3.846
3.846 0.000 3.846
3.846 3.846 0.000
Ce Th Zr
1 2 1
direct
0.000 0.000 0.000
0.250 0.250 0.250
0.750 0.750 0.750
0.500 0.500 0.500
```

Formation energy from the elements ... 44 kJ/mol of formula units
Electronic total energy ... -7.217 eV/atom
DOS(E_F) ... 8.24 states/eV per cell
Distance to the lowest polymorph of the same formula ... 65 meV per atom

=====

# 9
The following is a DFT calculation (PBE-GGA) of Tb3CuAu2 after structural relaxation.

The structure in POSCAR format:
```
Tb3CuAu2
1.0
3.570 0.000 0.000
0.000 3.570 0.000
0.000 0.000 10.767
Tb Cu Au
3 1 2
direct
0.000 0.000 0.000
0.000 0.000 0.340
0.000 0.000 0.660
0.500 0.500 0.500
0.500 0.500 0.172
0.500 0.500 0.828
```

Formation energy from the elements ... -374 kJ/mol of formula units
Electronic total energy ... -4.736 eV/atom
DOS(E_F) ... 3.02 states/eV per cell

=====

# 10
The following is a DFT calculation (PBE-GGA) of Na2SrBiTe after structural relaxation.

The structure in POSCAR format:
```
Na2SrBiTe
1.0
5.337 0.000 0.000
0.000 5.337 0.000
0.000 0.000 7.015
Na Sr Bi Te
2 1 1 1
direct
0.000 0.500 0.000
0.500 0.000 0.000
0.000 0.000 0.623
0.500 0.500 0.689
0.000 0.000 0.169
```

Formation energy without anion corrections ... -611 meV per atom
Electronic total energy ... -2.880 eV/atom
DOS(E_F) ... 2.16 states/eV per cell

=====

# 11
The following is a DFT calculation (PBE-GGA) of CeNp4 after structural relaxation.

The structure in POSCAR format:
```
CeNp4
1.0
5.224 0.000 0.000
0.000 5.224 0.000
0.000 0.000 5.224
Ce Np
1 4
direct
0.000 0.000 0.000
0.000 0.000 0.500
0.000 0.500 0.000
0.500 0.000 0.000
0.500 0.500 0.500
```

Formation energy from the elements ... 600 kJ/mol of formula units
Electronic total energy ... -10.295 eV/atom
DOS(E_F) ... 26.00 states/eV per cell

=====

# 12
The following is a DFT calculation (PBE-GGA) of LiRe2Se after structural relaxation.

The structure in POSCAR format:
```
LiRe2Se
1.0
3.282 0.000 0.000
0.000 3.104 0.000
-1.638 0.000 5.979
Li Re Se
1 2 1
direct
0.000 0.000 0.000
0.365 0.500 0.727
0.753 0.000 0.503
0.579 0.500 0.159
```

Formation energy without anion corrections ... 76 meV per atom
Electronic total energy ... -7.497 eV/atom
DOS(E_F) ... 3.29 states/eV per cell